{"formula": "MgInBi2O6", "functional": "GGA-PBE", "state": "relaxed", "spacegroup": "R3, No. 146", "volume_a3_per_cell": 140.5, "dos_ef_per_ev_cell": 3.96, "raw_formation_energy_ev_per_atom": -1.4959, "cell": [[5.7186, 0.0001, 0.0002], [2.8594, 4.9524, 0.0000], [2.8592, 1.6510, 4.9612]], "species": ["Mg", "In", "Bi", "Bi", "O", "O", "O", "O", "O", "O"], "fractional_positions": [[0.3124, 0.3124, 0.0627], [0.8102, 0.8102, 0.5695], [0.5299, 0.5299, 0.4102], [0.0219, 0.0219, 0.9342], [0.6071, 0.1772, 0.2509], [0.1772, 0.9648, 0.2509], [0.9648, 0.6071, 0.2509], [0.4402, 0.6861, 0.7619], [0.6861, 0.1118, 0.7619], [0.1118, 0.4402, 0.7619]]}

=====

{"formula": "LiTaSb", "functional": "GGA-PBE", "state": "relaxed", "spacegroup": "F-43m, No. 216", "volume_a3_per_cell": 56.4, "dos_ef_per_ev_cell": 4.01, "raw_formation_energy_ev_per_atom": 0.6444, "relative_energy_kj_per_mol_atoms": 91.42, "cell": [[4.3051, 0.0000, 0.0000], [2.1525, 3.7283, 0.0000], [2.1525, 1.2428, 3.5151]], "species": ["Li", "Sb", "Ta"], "fractional_positions": [[0.2500, 0.2500, 0.2500], [0.0000, 0.0000, 0.0000], [0.5000, 0.5000, 0.5000]]}

=====

{"formula": "NaRuS2", "functional": "GGA-PBE", "state": "relaxed", "spacegroup": "I-42d, No. 122", "volume_a3_per_cell": 184.3, "dos_ef_per_ev_cell": 4.67, "raw_formation_energy_ev_per_atom": -0.4883, "cell": [[-0.1729, 4.3945, -4.4746], [-6.2712, -0.1721, 0.0733], [-3.2753, 5.4503, 1.0807]], "species": ["Ru", "Ru", "S", "S", "S", "S", "Na", "Na"], "fractional_positions": [[0.0000, 0.0000, 0.0000], [0.7500, 0.2500, 0.5000], [0.7028, 0.1250, 0.2500], [0.0472, 0.6250, 0.2500], [0.3750, 0.2972, 0.7500], [0.8750, 0.9528, 0.7500], [0.5000, 0.5000, 0.0000], [0.2500, 0.7500, 0.5000]]}

=====

{"formula": "ReMo2Cl", "functional": "GGA-PBE", "state": "relaxed", "spacegroup": "Imm2, No. 44", "volume_a3_per_cell": 60.4, "dos_ef_per_ev_cell": 3.55, "raw_formation_energy_ev_per_atom": 0.6094, "relative_energy_kj_per_mol_atoms": 35.70, "cell": [[5.3173, 0.0003, 0.0007], [2.5983, 4.6393, -0.0007], [-3.3980, -3.2748, 2.4501]], "species": ["Cl", "Mo", "Mo", "Re"], "fractional_positions": [[0.2483, 0.7483, 0.5000], [0.0264, 0.0264, 0.0000], [0.7397, 0.2397, 0.5000], [0.4855, 0.4855, 0.0000]]}

=====

{"formula": "ZrSc2Te", "functional": "GGA-PBE", "state": "relaxed", "spacegroup": "R-3m, No. 166", "volume_a3_per_cell": 99.7, "dos_ef_per_ev_cell": 3.18, "raw_formation_energy_ev_per_atom": -0.3627, "cell": [[9.3324, 0.0031, 0.0019], [8.6537, 3.4938, 0.0019], [8.6537, 1.6825, 3.0620]], "species": ["Sc", "Sc", "Te", "Zr"], "fractional_positions": [[0.9932, 0.9932, 0.9932], [0.5068, 0.5068, 0.5068], [0.2500, 0.2500, 0.2500], [0.7500, 0.7500, 0.7500]]}

=====

{"formula": "Cr2NiPt", "functional": "GGA-PBE", "state": "relaxed", "spacegroup": "Pmmm, No. 47", "volume_a3_per_cell": 49.9, "dos_ef_per_ev_cell": 6.09, "e_form_ev_per_atom": -0.068, "cell": [[-1.1960, -2.2035, -0.6659], [2.9467, -0.9542, -2.1351], [2.1316, -2.3656, 3.9991]], "species": ["Cr", "Cr", "Ni", "Pt"], "fractional_positions": [[0.0000, 0.0000, 0.0270], [0.0000, 0.0000, 0.4730], [0.5000, 0.5000, 0.2500], [0.5000, 0.5000, 0.7500]]}

=====

{"formula": "KAgOsF6", "functional": "GGA-PBE", "state": "relaxed", "spacegroup": "P312, No. 149", "volume_a3_per_cell": 165.5, "dos_ef_per_ev_cell": 6.90, "raw_formation_energy_ev_per_atom": -1.8157, "cell": [[5.0604, 0.0000, 0.0000], [0.0000, 6.1455, 0.0000], [0.0000, -3.0727, 5.3221]], "species": ["K", "Ag", "Os", "F", "F", "F", "F", "F", "F"], "fractional_positions": [[0.0000, 0.3333, 0.6667], [0.5000, 0.6667, 0.3333], [0.5000, 0.0000, 0.0000], [0.7127, 0.7317, 0.7286], [0.7127, 0.2714, 0.0031], [0.7127, 0.9969, 0.2683], [0.2873, 0.2714, 0.2683], [0.2873, 0.7317, 0.0031], [0.2873, 0.9969, 0.7286]]}

=====

{"formula": "Pr2Nd3Ho4", "functional": "GGA-PBE", "state": "relaxed", "spacegroup": "C2/c, No. 15", "volume_a3_per_cell": 601.8, "dos_ef_per_ev_cell": 28.03, "e_form_ev_per_atom": 0.093, "relative_energy_kj_per_mol_atoms": 7.12, "cell": [[5.8433, 1.6346, 1.1704], [2.1376, 11.1230, 0.6946], [2.1376, 4.2416, 10.3060]], "species": ["Pr", "Pr", "Pr", "Pr", "Nd", "Nd", "Nd", "Nd", "Nd", "Nd", "Ho", "Ho", "Ho", "Ho", "Ho", "Ho", "Ho", "Ho"], "fractional_positions": [[0.4374, 0.2624, 0.5139], [0.0626, 0.4861, 0.7376], [0.5626, 0.7376, 0.4861], [0.9374, 0.5139, 0.2624], [0.7672, 0.0193, 0.3050], [0.7328, 0.6950, 0.9807], [0.2328, 0.9807, 0.6950], [0.2672, 0.3050, 0.0193], [0.2500, 0.6359, 0.3641], [0.7500, 0.3641, 0.6359], [0.4243, 0.9441, 0.1717], [0.0757, 0.8283, 0.0559], [0.5757, 0.0559, 0.8283], [0.9243, 0.1717, 0.9441], [0.1033, 0.1508, 0.3849], [0.3967, 0.6151, 0.8492], [0.8967, 0.8492, 0.6151], [0.6033, 0.3849, 0.1508]]}

=====

{"formula": "BeTl3", "functional": "GGA-PBE", "state": "relaxed", "spacegroup": "Cmcm, No. 63", "volume_a3_per_cell": 214.1, "dos_ef_per_ev_cell": 3.63, "e_form_ev_per_atom": 0.319, "relative_energy_kj_per_mol_atoms": 0.00, "cell": [[4.5131, -5.9187, 0.0000], [4.5131, 5.9187, 0.0000], [0.0000, 0.0000, 4.0079]], "species": ["Be", "Be", "Tl", "Tl", "Tl", "Tl", "Tl", "Tl"], "fractional_positions": [[0.0271, 0.9729, 0.7500], [0.9729, 0.0271, 0.2500], [0.6173, 0.3827, 0.7500], [0.0659, 0.3332, 0.7500], [0.6668, 0.9341, 0.7500], [0.3827, 0.6173, 0.2500], [0.9341, 0.6668, 0.2500], [0.3332, 0.0659, 0.2500]]}

=====

{"formula": "Pm2Sm4Sc", "functional": "GGA-PBE", "state": "relaxed", "spacegroup": "P1, No. 1", "volume_a3_per_cell": 454.8, "dos_ef_per_ev_cell": 20.84, "e_form_ev_per_atom": 0.034, "relative_energy_kj_per_mol_atoms": 0.00, "cell": [[7.7673, 1.4623, -1.3187], [-2.8434, 5.4454, -0.8679], [1.1520, 2.0658, 9.1763]], "species": ["Pm", "Pm", "Pm", "Pm", "Sm", "Sm", "Sm", "Sm", "Sm", "Sm", "Sm", "Sm", "Sc", "Sc"], "fractional_positions": [[0.4779, 0.6959, 0.1450], [0.6291, 0.4114, 0.8550], [0.1978, 0.2727, 0.7131], [0.6983, 0.2729, 0.2134], [0.9783, 0.6955, 0.6444], [0.2647, 0.1225, 0.0692], [0.9094, 0.8343, 0.2869], [0.3419, 0.9846, 0.4311], [0.7652, 0.1221, 0.5689], [0.1286, 0.4114, 0.3553], [0.8426, 0.9844, 0.9309], [0.4091, 0.8344, 0.7867], [0.5535, 0.5538, 0.5001], [0.0537, 0.5540, 0.0001]]}

=====

{"formula": "Pu2TiGa4Pt3", "functional": "GGA-PBE", "state": "relaxed", "spacegroup": "P-4m2, No. 115", "volume_a3_per_cell": 190.9, "dos_ef_per_ev_cell": 25.72, "e_form_ev_per_atom": -0.673, "cell": [[4.0837, 0.0000, 0.0000], [0.0000, 4.0837, 0.0000], [0.0000, 0.0000, 11.4484]], "species": ["Pu", "Pu", "Ti", "Ga", "Ga", "Ga", "Ga", "Pt", "Pt", "Pt"], "fractional_positions": [[0.5000, 0.0000, 0.2487], [0.0000, 0.5000, 0.7513], [0.5000, 0.5000, 0.5000], [0.5000, 0.5000, 0.0000], [0.0000, 0.0000, 0.0000], [0.5000, 0.0000, 0.6438], [0.0000, 0.5000, 0.3562], [0.0000, 0.0000, 0.5000], [0.5000, 0.0000, 0.8624], [0.0000, 0.5000, 0.1376]]}